1.
Compound: La2Dy3Y3
Source: Alexandria
Functional: PBE
Structure: optimized geometry

Results
DOS(E_F)	11.05	states/eV/f.u.
density	6.34	g/cm3
raw total energy	-168.25	eV/cell

Cell: 3.6186 17.7112 16.8731 Å, 90.00 90.00 90.00°
With the nearest neighbours (Å) after each atom.
Space group Cmcm (No. 63)
Symmetry-distinct sites (fractional):
La  0.0000  0.2209  0.1517 [8 per cell]  3 La 3.32-3.62, 4 Y 3.36-3.60, 2 Dy 3.51
Dy  0.0000  0.0048  0.1001 [8 per cell]  5 Dy 3.38-3.62, 6 Y 3.50-3.68
Dy  0.0000  0.4210  0.7500 [4 per cell]  1 Y 3.29, 6 Dy 3.38-3.62, 4 La 3.51
Y  0.0000  0.3572  0.0135 [8 per cell]  3 La 3.36-3.60, 4 Dy 3.50-3.59, 2 Y 3.62
Y  0.0000  0.3933  0.2500 [4 per cell]  1 Dy 3.29, 2 La 3.48, 2 Y 3.62

---

2.
Compound: CaThNiPd
Source: Alexandria
Functional: PBE
Structure: optimized geometry

Results
DOS(E_F)	4.19	states/eV/f.u.
density	8.26	g/cm3
raw total energy	-88.21	eV/cell

Cell: 7.0589 7.0589 7.0589 Å, 90.00 90.00 90.00°
With the nearest neighbours (Å) after each atom.
Space group F-43m (No. 216)
Symmetry-distinct sites (fractional):
Ca  0.0000  0.0000  0.0000 [4 per cell]  4 Pd 3.06, 4 Ni 3.06
Th  0.0000  0.0000  0.5000 [4 per cell]  4 Ni 3.06, 4 Pd 3.06
Ni  0.2500  0.2500  0.2500 [4 per cell]  4 Th 3.06, 4 Ca 3.06
Pd  0.2500  0.2500  0.7500 [4 per cell]  4 Th 3.06, 4 Ca 3.06

---

3.
Compound: MgTlSb2Te
Source: Alexandria
Functional: PBE
Structure: optimized geometry

Results
DOS(E_F)	7.20	states/eV/f.u.
density	5.29	g/cm3
raw total energy	-11.54	eV/cell

Cell: 5.6853 5.6853 5.8283 Å, 90.00 90.00 90.00°
With the nearest neighbours (Å) after each atom.
Space group P4/mmm (No. 123)
Symmetry-distinct sites (fractional):
Mg  0.0000  0.0000  0.0000 [1 per cell]  4 Te 4.02, 8 Sb 4.07
Tl  0.5000  0.5000  0.5000 [1 per cell]  4 Sb 2.84, 2 Te 2.91
Sb  0.0000  0.5000  0.5000 [2 per cell]  2 Tl 2.84
Te  0.5000  0.5000  0.0000 [1 per cell]  2 Tl 2.91

---

4.
Compound: LiFeRu2W
Source: Alexandria
Functional: PBE
Structure: optimized geometry

Results
DOS(E_F)	4.80	states/eV/f.u.
density	11.21	g/cm3
raw total energy	-35.54	eV/cell

Cell: 3.9878 3.9878 4.1821 Å, 90.00 90.00 90.00°
With the nearest neighbours (Å) after each atom.
Space group P4/mmm (No. 123)
Symmetry-distinct sites (fractional):
Li  0.0000  0.0000  0.0000 [1 per cell]  4 Ru 1.99, 2 W 2.09
Fe  0.5000  0.5000  0.5000 [1 per cell]  4 W 2.82, 8 Ru 2.89
Ru  0.0000  0.5000  0.0000 [2 per cell]  2 Li 1.99
W  0.0000  0.0000  0.5000 [1 per cell]  2 Li 2.09

---

5.
Compound: KThCrN3
Source: Alexandria
Functional: PBE
Structure: optimized geometry

Results
DOS(E_F)	1.48	states/eV/f.u.
density	6.16	g/cm3
raw total energy	-189.33	eV/cell

Cell: 13.8014 3.8317 7.7483 Å, 90.00 105.94 90.00°
With the nearest neighbours (Å) after each atom.
Space group C2/m (No. 12)
Symmetry-distinct sites (fractional):
K  0.1354  0.0000  0.0693 [4 per cell]  7 N 2.90-3.10
Th  0.1555  0.0000  0.5763 [4 per cell]  7 N 2.41-2.64
Cr  0.0013  0.5000  0.6878 [4 per cell]  3 N 1.74-1.92
N  0.0096  0.0000  0.3143 [4 per cell]  2 Cr 1.92
N  0.1319  0.5000  0.7769 [4 per cell]  1 Cr 1.74
N  0.1629  0.5000  0.3908 [4 per cell]  1 Cr 2.18, 2 Th 2.41

---

6.
Compound: U2ZnSi2Ru5
Source: Alexandria
Functional: PBE
Structure: optimized geometry

Results
DOS(E_F)	9.85	states/eV/f.u.
density	11.38	g/cm3
raw total energy	-170.17	eV/cell

Cell: 9.7524 9.7524 3.3839 Å, 90.00 90.00 90.00°
With the nearest neighbours (Å) after each atom.
Space group P4/mbm (No. 127)
Symmetry-distinct sites (fractional):
U  0.1759  0.3241  0.0000 [4 per cell]  3 Si 2.76-2.97, 6 Ru 2.96
Zn  0.0000  0.0000  0.0000 [2 per cell]  8 Ru 2.75
Si  0.1239  0.6239  0.0000 [4 per cell]  6 Ru 2.40
Ru  0.0000  0.5000  0.5000 [2 per cell]  4 Si 2.40
Ru  0.0768  0.7917  0.5000 [8 per cell]  2 Si 2.40

---

7.
Compound: CaLuHgGe
Source: Alexandria
Functional: PBE
Structure: optimized geometry

Results
DOS(E_F)	3.00	states/eV/f.u.
density	8.38	g/cm3
raw total energy	-53.95	eV/cell

Cell: 7.2863 7.2863 7.2863 Å, 90.00 90.00 90.00°
With the nearest neighbours (Å) after each atom.
Space group F-43m (No. 216)
Symmetry-distinct sites (fractional):
Ca  0.0000  0.0000  0.0000 [4 per cell]  4 Hg 3.16, 4 Ge 3.16
Lu  0.0000  0.0000  0.5000 [4 per cell]  4 Ge 3.16, 4 Hg 3.16
Hg  0.2500  0.2500  0.7500 [4 per cell]  4 Ca 3.16, 4 Lu 3.16
Ge  0.2500  0.2500  0.2500 [4 per cell]  4 Ca 3.16, 4 Lu 3.16

---

8.
Compound: ThCoS
Source: Alexandria
Functional: PBE
Structure: optimized geometry

Results
DOS(E_F)	2.22	states/eV/f.u.
density	8.78	g/cm3
raw total energy	-85.71	eV/cell

Cell: 5.5870 5.4692 8.0014 Å, 90.00 92.10 90.00°
With the nearest neighbours (Å) after each atom.
Space group C2/m (No. 12)
Symmetry-distinct sites (fractional):
Th  0.2344  0.0000  0.2679 [4 per cell]  1 Co 2.67, 4 S 2.82-2.90
Co  0.1862  0.5000  0.0597 [4 per cell]  1 Co 2.26, 1 S 2.36
S  0.2423  0.5000  0.3539 [4 per cell]  1 Co 2.36

---

9.
Compound: PmTmTe2
Source: Alexandria
Functional: PBE
Structure: optimized geometry

Results
DOS(E_F)	1.30	states/eV/f.u.
density	7.90	g/cm3
raw total energy	-62.48	eV/cell

Cell: 4.2570 4.2570 22.8706 Å, 90.00 90.00 120.00°
With the nearest neighbours (Å) after each atom.
Space group R3m (No. 160, hexagonal axes)
Symmetry-distinct sites (fractional):
Pm  0.0000  0.0000  0.0000 [3 per cell]  6 Te 3.13-3.23
Tm  0.0000  0.0000  0.1736 [3 per cell]  6 Te 2.99-3.10
Te  0.0000  0.0000  0.5817 [3 per cell]  3 Tm 2.99, 3 Pm 3.13
Te  0.0000  0.0000  0.7581 [3 per cell]  3 Tm 3.10, 3 Pm 3.23

---

10.
Compound: NaIrSN2
Source: Alexandria
Functional: PBE
Structure: optimized geometry

Results
DOS(E_F)	6.18	states/eV/f.u.
density	5.51	g/cm3
raw total energy	-17.61	eV/cell

Cell: 4.0276 4.0276 5.1110 Å, 90.00 90.00 90.00°
With the nearest neighbours (Å) after each atom.
Space group P4/mmm (No. 123)
Symmetry-distinct sites (fractional):
Na  0.0000  0.0000  0.0000 [1 per cell]  4 N 2.01
Ir  0.5000  0.5000  0.5000 [1 per cell]  4 S 2.85
S  0.0000  0.0000  0.5000 [1 per cell]  2 Na 2.56, 4 Ir 2.85
N  0.0000  0.5000  0.0000 [2 per cell]  2 Na 2.01

---

11.
Compound: CaSbMo
Source: Alexandria
Functional: PBE
Structure: optimized geometry

Results
DOS(E_F)	1.40	states/eV/f.u.
density	4.72	g/cm3
raw total energy	-56.55	eV/cell

Cell: 7.1335 7.1335 7.1335 Å, 90.00 90.00 90.00°
With the nearest neighbours (Å) after each atom.
Space group F-43m (No. 216)
Symmetry-distinct sites (fractional):
Ca  0.0000  0.0000  0.0000 [4 per cell]  4 Mo 3.09, 4 Sb 3.09
Sb  0.2500  0.2500  0.7500 [4 per cell]  4 Ca 3.09
Mo  0.2500  0.2500  0.2500 [4 per cell]  4 Ca 3.09

---

12.
Compound: LiMgCo2Ge2
Source: Alexandria
Functional: PBE
Structure: optimized geometry

Results
DOS(E_F)	1.55	states/eV/f.u.
density	6.28	g/cm3
raw total energy	-28.20	eV/cell

Cell: 4.2032 4.2032 5.0847 Å, 90.00 90.00 120.00°
With the nearest neighbours (Å) after each atom.
Space group P-3m1 (No. 164)
Symmetry-distinct sites (fractional):
Li  0.0000  0.0000  0.0000 [1 per cell]  2 Mg 2.54, 6 Ge 2.62
Mg  0.0000  0.0000  0.5000 [1 per cell]  2 Li 2.54, 6 Co 2.63
Co  0.3333  0.6667  0.6974 [2 per cell]  5 Ge 2.49-2.56, 3 Mg 2.63
Ge  0.3333  0.6667  0.1949 [2 per cell]  5 Co 2.49-2.56, 3 Li 2.62

---

13.
Compound: CaSi2Ru
Source: Alexandria
Functional: PBE
Structure: optimized geometry

Results
DOS(E_F)	2.34	states/eV/f.u.
density	5.03	g/cm3
raw total energy	-21.83	eV/cell

Cell: 3.9894 3.9894 4.0945 Å, 90.00 90.00 90.00°
With the nearest neighbours (Å) after each atom.
Space group P4/mmm (No. 123)
Symmetry-distinct sites (fractional):
Ca  0.0000  0.0000  0.0000 [1 per cell]  4 Ru 2.82, 8 Si 2.86
Si  0.0000  0.5000  0.5000 [2 per cell]  4 Si 2.82, 4 Ru 2.86, 4 Ca 2.86
Ru  0.5000  0.5000  0.0000 [1 per cell]  4 Ca 2.82, 8 Si 2.86

---

14.
Compound: YMoRh2
Source: Alexandria
Functional: PBE
Structure: optimized geometry

Results
DOS(E_F)	3.23	states/eV/f.u.
density	8.76	g/cm3
raw total energy	-64.25	eV/cell

Cell: 7.7348 2.9543 6.5113 Å, 90.00 95.79 90.00°
With the nearest neighbours (Å) after each atom.
Space group C2/m (No. 12)
Symmetry-distinct sites (fractional):
Y  0.0000  0.0000  0.0000 [2 per cell]  6 Rh 2.87-2.93, 2 Y 2.95
Mo  0.0000  0.5000  0.5000 [2 per cell]  6 Rh 2.44-2.72
Rh  0.2444  0.5000  0.2902 [4 per cell]  3 Mo 2.44-2.72

---

15.
Compound: Ag3RuRh
Source: Alexandria
Functional: PBE
Structure: optimized geometry

Results
DOS(E_F)	13.40	states/eV/f.u.
density	7.21	g/cm3
raw total energy	-16.75	eV/cell

Cell: 4.9540 4.9540 4.9540 Å, 90.00 90.00 90.00°
With the nearest neighbours (Å) after each atom.
Space group Pm-3m (No. 221)
Symmetry-distinct sites (fractional):
Ag  0.0000  0.0000  0.5000 [3 per cell]  2 Rh 2.48
Ru  0.5000  0.5000  0.5000 [1 per cell]  12 Ag 3.50
Rh  0.0000  0.0000  0.0000 [1 per cell]  6 Ag 2.48

---

16.
Compound: AlZnOs2
Source: Alexandria
Functional: PBE
Structure: optimized geometry

Results
DOS(E_F)	2.78	states/eV/f.u.
density	13.78	g/cm3
raw total energy	-27.39	eV/cell

Cell: 2.8108 3.7246 5.4433 Å, 90.00 90.00 90.00°
With the nearest neighbours (Å) after each atom.
Space group Pmm2 (No. 25)
Symmetry-distinct sites (fractional):
Al  0.0000  0.0000  0.0000 [1 per cell]  4 Zn 2.69, 6 Os 2.71-2.74, 2 Al 2.81
Zn  0.5000  0.5000  0.2451 [1 per cell]  4 Al 2.69, 6 Os 2.71-2.73, 2 Zn 2.81
Os  0.0000  0.0000  0.5026 [1 per cell]  6 Os 2.68-2.81, 2 Al 2.71-2.74, 4 Zn 2.72
Os  0.5000  0.5000  0.7433 [1 per cell]  6 Os 2.68-2.81, 2 Zn 2.71-2.73, 4 Al 2.72

---

17.
Compound: Sm2Cd2Pd3
Source: Alexandria
Functional: PBE
Structure: optimized geometry

Results
DOS(E_F)	3.23	states/eV/f.u.
density	9.20	g/cm3
raw total energy	-63.06	eV/cell

Cell: 10.0542 4.2775 7.3820 Å, 90.00 106.06 90.00°
With the nearest neighbours (Å) after each atom.
Space group C2/m (No. 12)
Symmetry-distinct sites (fractional):
Sm  0.1276  0.0000  0.3043 [4 per cell]  6 Pd 2.90-3.05
Cd  0.1262  0.5000  0.9329 [4 per cell]  4 Pd 2.80-3.09, 1 Cd 2.97
Pd  0.0000  0.5000  0.5000 [2 per cell]  4 Pd 2.90, 4 Sm 3.05, 2 Cd 3.09
Pd  0.1687  0.0000  0.7095 [4 per cell]  3 Cd 2.80-2.87, 2 Pd 2.90, 4 Sm 2.90-2.98

---

18.
Compound: CsYCd3
Source: Alexandria
Functional: PBE
Structure: optimized geometry

Results
DOS(E_F)	4.26	states/eV/f.u.
density	4.11	g/cm3
raw total energy	-8.80	eV/cell

Cell: 6.0925 6.0925 6.0925 Å, 90.00 90.00 90.00°
With the nearest neighbours (Å) after each atom.
Space group Pm-3m (No. 221)
Symmetry-distinct sites (fractional):
Cs  0.0000  0.0000  0.0000 [1 per cell]  12 Cd 4.31
Y  0.5000  0.5000  0.5000 [1 per cell]  6 Cd 3.05
Cd  0.0000  0.5000  0.5000 [3 per cell]  2 Y 3.05

---

19.
Compound: Ac3NiAg
Source: Alexandria
Functional: PBE
Structure: optimized geometry

Results
DOS(E_F)	5.86	states/eV/f.u.
density	7.73	g/cm3
raw total energy	-20.92	eV/cell

Cell: 5.6689 5.6689 5.6689 Å, 90.00 90.00 90.00°
With the nearest neighbours (Å) after each atom.
Space group Pm-3m (No. 221)
Symmetry-distinct sites (fractional):
Ac  0.0000  0.0000  0.5000 [3 per cell]  2 Ni 2.83
Ni  0.0000  0.0000  0.0000 [1 per cell]  6 Ac 2.83
Ag  0.5000  0.5000  0.5000 [1 per cell]  12 Ac 4.01

---

20.
Compound: Tb3Si5Ir6
Source: Alexandria
Functional: PBE
Structure: optimized geometry

Results
DOS(E_F)	5.49	states/eV/f.u.
density	12.20	g/cm3
raw total energy	-216.53	eV/cell

Cell: 4.0215 12.3881 9.6708 Å, 90.00 90.00 90.00°
With the nearest neighbours (Å) after each atom.
Space group Pmmn (No. 59, origin choice 2)
Symmetry-distinct sites (fractional):
Tb  0.2500  0.0908  0.2478 [4 per cell]  7 Ir 3.00-3.30, 6 Si 3.05-3.12
Tb  0.2500  0.7500  0.2431 [2 per cell]  6 Si 2.92-3.12, 6 Ir 3.04-3.17
Si  0.2500  0.0767  0.6497 [4 per cell]  5 Ir 2.42-2.49
Si  0.2500  0.6305  0.9833 [4 per cell]  5 Ir 2.37-2.53
Si  0.2500  0.7500  0.6137 [2 per cell]  4 Ir 2.40-2.41
Ir  0.2500  0.0487  0.8973 [4 per cell]  4 Si 2.37-2.53
Ir  0.2500  0.2500  0.0094 [2 per cell]  4 Si 2.50, 2 Ir 2.72
Ir  0.2500  0.2500  0.5209 [2 per cell]  4 Si 2.40-2.48
Ir  0.2500  0.5813  0.4900 [4 per cell]  4 Si 2.41-2.49